DFT (PBE) results for Nd7Tl2In2 after structural relaxation.

Properties
**Volume**: 378.7 Å³/f.u.
**SG**: Cmmm (65)
**ΔE_f**: -0.08 eV/atom

POSCAR file:
```
Nd7Tl2In2
1.0
4.0558 -5.7576 0.0000
4.0558 5.7576 0.0000
0.0000 0.0000 8.1077
Nd Tl In
7 2 2
direct
0.0000 0.0000 0.0000
0.0000 0.5000 0.2920
0.0000 0.5000 0.7080
0.5000 0.0000 0.2920
0.5000 0.0000 0.7080
0.5000 0.5000 0.2643
0.5000 0.5000 0.7357
0.2899 0.7101 0.0000
0.7101 0.2899 0.0000
0.1739 0.1739 0.5000
0.8261 0.8261 0.5000
```